Material: Ce2CoMo
Method: DFT, PBE
State: optimized geometry Values from VASP.

Geometry as Quantum ESPRESSO input:
```
&SYSTEM
  ibrav = 0, nat = 4, ntyp = 3
/
ATOMIC_SPECIES
Co 58.93 Co.upf
Ce 140.12 Ce.upf
Mo 95.94 Mo.upf
CELL_PARAMETERS angstrom
-0.259 -2.714 -1.070
-0.597 -2.233 1.799
-10.253 -0.134 -1.185
ATOMIC_POSITIONS crystal
Co 0.500 0.500 0.500
Ce 0.091 0.091 0.726
Ce 0.909 0.909 0.274
Mo 0.000 0.000 0.000
```

Summary:
calculated density	9.551	g cm⁻³
calculated total energy	-6.934	eV per atom
calculated formation energy	0.5172	eV per atom